[1]
Computed, not measured: a geometry-optimized CrWSe2 structure at the GGA-PBE level of DFT.

```
CrWSe2
1.0
1.662 0.959 7.626
-1.662 0.959 7.626
0.000 -1.919 7.626
Cr W Se
1 1 2
Cartesian
0.000 0.000 0.000
0.000 0.000 11.439
0.000 0.000 5.591
0.000 0.000 17.286
```

Computed properties:
Its relative energy among the computed polymorphs is 163.8 kJ/mol of formula units. The symmetry is R-3m (166).

=====

[2]
Computed, not measured: a geometry-optimized CrW2Se structure at the GGA-PBE level of DFT.

```
CrW2Se
1.0
-2.062 2.062 3.686
2.062 -2.062 3.686
2.062 2.062 -3.686
Cr W Se
1 2 1
Cartesian
0.000 0.000 0.000
0.000 0.000 3.686
0.000 2.062 1.843
2.062 0.000 1.843
```

Computed properties:
The symmetry is I-4m2 (119). Its calculated total energy is -36.2 eV per cell.

=====

[3]
Computed, not measured: a geometry-optimized CrW2Se structure at the GGA-PBE level of DFT.

```
CrW2Se
1.0
3.103 0.000 0.000
0.000 4.402 0.000
0.000 0.000 4.501
Cr W Se
1 2 1
Cartesian
0.000 0.000 0.000
0.000 2.201 2.250
1.552 0.000 2.250
1.552 2.201 0.000
```

Computed properties:
The symmetry is Pmmm (47). Its calculated total energy is -37.0 eV per cell.

=====

[4]
Computed, not measured: a geometry-optimized CrWSe2 structure at the GGA-PBE level of DFT.

```
CrWSe2
1.0
4.363 -1.614 0.000
4.363 1.614 0.000
-1.095 0.000 4.743
Cr W Se
1 1 2
Cartesian
0.000 0.000 0.000
1.266 0.000 3.001
3.798 0.000 2.238
6.309 0.000 0.243
```

Computed properties:
Its relative energy among the computed polymorphs is 139.0 kJ/mol of formula units. The symmetry is Cm (8).

=====

[5]
Computed, not measured: a geometry-optimized CrWSe2 structure at the GGA-PBE level of DFT.

```
CrWSe2
1.0
-1.747 1.907 7.016
1.747 -1.907 7.016
1.747 1.907 -7.016
Cr W Se
1 1 2
Cartesian
0.000 0.000 0.000
0.000 0.000 7.016
1.747 0.000 1.805
0.000 1.907 5.211
```

Computed properties:
Its relative energy among the computed polymorphs is 44.3 kJ/mol of formula units. The symmetry is Immm (71).

=====

[6]
Computed, not measured: a geometry-optimized CrW2Se structure at the GGA-PBE level of DFT.

```
CrW2Se
1.0
2.992 0.000 0.000
0.000 4.084 0.000
0.000 0.000 5.062
Cr W Se
1 2 1
Cartesian
0.000 0.000 0.000
0.000 0.000 2.577
1.496 2.042 3.754
1.496 2.042 1.188
```

Computed properties:
The symmetry is Pmm2 (25). Its calculated total energy is -37.1 eV per cell.

=====

[7]
Computed, not measured: a geometry-optimized CrWSe2 structure at the GGA-PBE level of DFT.

```
CrWSe2
1.0
1.549 0.894 9.605
-1.549 0.894 9.605
0.000 -1.788 9.605
Cr W Se
1 1 2
Cartesian
0.000 0.000 0.000
0.000 0.000 21.345
0.000 0.000 8.005
0.000 0.000 13.520
```

Computed properties:
Its relative energy among the computed polymorphs is 44.2 kJ/mol of formula units. The symmetry is R3m (160).

=====

[8]
Computed, not measured: a geometry-optimized CrW2Se structure at the GGA-PBE level of DFT.

```
CrW2Se
1.0
4.474 -1.519 0.000
4.474 1.519 0.000
-1.378 0.000 4.461
Cr W Se
1 2 1
Cartesian
0.000 0.000 0.000
3.859 0.000 2.234
6.296 0.000 0.611
1.362 0.000 2.991
```

Computed properties:
The symmetry is Cm (8). Its calculated total energy is -37.2 eV per cell.

=====

[9]
Computed, not measured: a geometry-optimized CrW2Se structure at the GGA-PBE level of DFT.

```
CrW2Se
1.0
1.502 0.867 8.093
-1.502 0.867 8.093
0.000 -1.734 8.093
Cr W Se
1 2 1
Cartesian
0.000 0.000 0.000
0.000 0.000 6.326
0.000 0.000 12.146
0.000 0.000 18.289
```

Computed properties:
The symmetry is R3m (160). Its calculated total energy is -37.4 eV per cell.

=====

[10]
Computed, not measured: a geometry-optimized CrWSe2 structure at the GGA-PBE level of DFT.

```
CrWSe2
1.0
1.639 -2.858 0.000
1.639 2.858 0.000
0.000 0.000 7.776
Cr W Se
1 1 2
Cartesian
0.000 0.000 0.000
0.000 0.000 3.888
1.639 0.000 1.914
1.639 0.000 5.862
```

Computed properties:
Its relative energy among the computed polymorphs is 299.7 kJ/mol of formula units. The symmetry is Cmmm (65).

=====

[11]
Computed, not measured: a geometry-optimized Cr3WSe structure at the GGA-PBE level of DFT.

```
Cr3WSe
1.0
4.282 0.000 0.000
0.000 4.282 0.000
0.000 0.000 4.282
Cr W Se
3 1 1
Cartesian
0.000 0.000 2.141
0.000 2.141 0.000
2.141 0.000 0.000
2.141 2.141 2.141
0.000 0.000 0.000
```

Computed properties:
Its relative energy among the computed polymorphs is 0.0 kJ/mol of formula units. The symmetry is Pm-3m (221).

=====

[12]
Computed, not measured: a geometry-optimized CrW2Se structure at the GGA-PBE level of DFT.

```
CrW2Se
1.0
1.586 -2.339 0.000
1.586 2.339 0.000
0.000 0.000 8.543
Cr W Se
1 2 1
Cartesian
0.000 0.000 0.000
0.000 0.000 4.185
1.586 0.000 2.032
1.586 0.000 6.591
```

Computed properties:
The symmetry is Cmm2 (35). Its calculated total energy is -37.1 eV per cell.

=====

[13]
Computed, not measured: a geometry-optimized CrW2Se structure at the GGA-PBE level of DFT.

```
CrW2Se
1.0
2.919 0.000 0.000
0.000 4.076 0.000
-1.014 0.000 5.170
Cr W Se
1 2 1
Cartesian
0.000 0.000 0.000
1.114 2.038 1.219
0.792 2.038 3.951
-0.507 0.000 2.585
```

Computed properties:
The symmetry is P2/m (10). Its calculated total energy is -36.9 eV per cell.

=====

[14]
Computed, not measured: a geometry-optimized CrW3Se structure at the GGA-PBE level of DFT.

```
CrW3Se
1.0
4.545 0.000 0.000
0.000 4.545 0.000
0.000 0.000 4.545
Cr W Se
1 3 1
Cartesian
0.000 0.000 0.000
0.000 0.000 2.272
0.000 2.272 0.000
2.272 0.000 0.000
2.272 2.272 2.272
```

Computed properties:
Its relative energy among the computed polymorphs is 0.0 kJ/mol of formula units. The symmetry is Pm-3m (221).

=====

[15]
Computed, not measured: a geometry-optimized CrWSe2 structure at the GGA-PBE level of DFT.

```
CrWSe2
1.0
3.971 -1.637 0.000
3.971 1.637 0.000
-0.762 0.000 5.474
Cr W Se
1 1 2
Cartesian
0.000 0.000 0.000
3.590 0.000 2.737
1.201 0.000 3.975
5.978 0.000 1.499
```

Computed properties:
Its relative energy among the computed polymorphs is 158.1 kJ/mol of formula units. The symmetry is C2/m (12).

=====

[16]
Computed, not measured: a geometry-optimized CrW2Se structure at the GGA-PBE level of DFT.

```
CrW2Se
1.0
-1.535 2.126 4.545
1.535 -2.126 4.545
1.535 2.126 -4.545
Cr W Se
1 2 1
Cartesian
0.000 0.000 0.000
0.000 0.000 4.391
0.000 2.126 2.315
1.535 0.000 1.962
```

Computed properties:
The symmetry is Imm2 (44). Its calculated total energy is -37.2 eV per cell.

=====

[17]
Computed, not measured: a geometry-optimized CrWSe2 structure at the GGA-PBE level of DFT.

```
CrWSe2
1.0
0.000 3.096 3.096
3.096 0.000 3.096
3.096 3.096 0.000
Cr W Se
1 1 2
Cartesian
0.000 0.000 0.000
3.096 3.096 3.096
1.548 1.548 1.548
4.644 4.644 4.644
```

Computed properties:
Its relative energy among the computed polymorphs is 202.2 kJ/mol of formula units. The symmetry is Fm-3m (225).

=====

[18]
Computed, not measured: a geometry-optimized CrW2Se structure at the GGA-PBE level of DFT.

```
CrW2Se
1.0
2.928 0.000 0.000
0.000 4.047 0.000
0.000 0.000 5.173
Cr W Se
1 2 1
Cartesian
0.000 0.000 0.000
1.464 2.024 1.249
1.464 2.024 3.924
0.000 0.000 2.586
```

Computed properties:
The symmetry is Pmmm (47). Its calculated total energy is -36.8 eV per cell.

=====

[19]
Computed, not measured: a geometry-optimized CrW2Se structure at the GGA-PBE level of DFT.

```
CrW2Se
1.0
3.097 0.000 0.000
0.000 3.097 0.000
0.000 0.000 6.286
Cr W Se
1 2 1
Cartesian
0.000 0.000 0.000
0.000 0.000 3.195
1.548 1.548 4.949
1.548 1.548 1.596
```

Computed properties:
The symmetry is P4mm (99). Its calculated total energy is -37.8 eV per cell.

=====

[20]
Computed, not measured: a geometry-optimized CrW2Se structure at the GGA-PBE level of DFT.

```
CrW2Se
1.0
3.008 0.000 0.000
0.000 3.008 0.000
0.000 0.000 6.652
Cr W Se
1 2 1
Cartesian
0.000 0.000 0.000
1.504 1.504 1.539
1.504 1.504 5.113
0.000 0.000 3.326
```

Computed properties:
The symmetry is P4/mmm (123). Its calculated total energy is -37.5 eV per cell.

=====

[21]
Computed, not measured: a geometry-optimized CrWSe2 structure at the GGA-PBE level of DFT.

```
CrWSe2
1.0
3.124 0.000 0.000
0.000 4.018 0.000
0.000 0.000 5.746
Cr W Se
1 1 2
Cartesian
0.000 0.000 0.000
1.562 0.000 2.873
0.000 2.009 2.873
1.562 2.009 0.000
```

Computed properties:
Its relative energy among the computed polymorphs is 305.2 kJ/mol of formula units. The symmetry is Pmmm (47).

=====

[22]
Computed, not measured: a geometry-optimized CrWSe2 structure at the GGA-PBE level of DFT.

```
CrWSe2
1.0
-2.873 2.873 5.646
2.873 -2.873 5.646
2.873 2.873 -5.646
Cr W Se
2 2 4
Cartesian
0.000 0.000 0.000
0.000 2.873 2.823
2.873 0.000 2.823
0.000 0.000 5.646
1.436 -1.419 4.235
1.453 1.436 1.412
1.436 4.292 -1.412
1.419 1.436 7.058
```

Computed properties:
Its relative energy among the computed polymorphs is 222.6 kJ/mol of formula units. The symmetry is I-42d (122).

=====

[23]
Computed, not measured: a geometry-optimized CrWSe2 structure at the GGA-PBE level of DFT.

```
CrWSe2
1.0
-1.547 2.184 4.945
1.547 -2.184 4.945
1.547 2.184 -4.945
Cr W Se
1 1 2
Cartesian
0.000 0.000 0.000
0.000 2.184 2.099
1.547 0.000 2.102
0.000 0.000 4.931
```

Computed properties:
Its relative energy among the computed polymorphs is 212.7 kJ/mol of formula units. The symmetry is Imm2 (44).

=====

[24]
Computed, not measured: a geometry-optimized Zn2CrWSe structure at the GGA-PBE level of DFT.

```
Zn2CrWSe
1.0
4.619 0.000 0.000
0.000 4.619 0.000
0.000 0.000 4.293
Zn Cr W Se
2 1 1 1
Cartesian
0.000 2.310 0.000
2.310 0.000 0.000
0.000 0.000 2.147
2.310 2.310 2.147
0.000 0.000 0.000
```

Computed properties:
The symmetry is P4/mmm (123). Its calculated total energy is -20.9 eV per cell.

=====

[25]
Computed, not measured: a geometry-optimized Y4CrSe structure at the GGA-PBE level of DFT.

```
Y4CrSe
1.0
0.000 4.468 4.468
4.468 0.000 4.468
4.468 4.468 0.000
Y Cr Se
4 1 1
Cartesian
1.110 1.110 1.110
3.358 3.358 1.110
3.358 1.110 3.358
1.110 3.358 3.358
6.702 6.702 6.702
4.468 4.468 4.468
```

Computed properties:
The symmetry is F-43m (216). Its calculated total energy is -35.6 eV per cell.

=====

[26]
Computed, not measured: a geometry-optimized Y3CrSe structure at the GGA-PBE level of DFT.

```
Y3CrSe
1.0
5.152 0.000 0.000
0.000 5.152 0.000
0.000 0.000 5.152
Y Cr Se
3 1 1
Cartesian
0.000 0.000 2.576
0.000 2.576 0.000
2.576 0.000 0.000
0.000 0.000 0.000
2.576 2.576 2.576
```

Computed properties:
Its relative energy among the computed polymorphs is 0.0 kJ/mol of formula units. The symmetry is Pm-3m (221).

=====

[27]
Computed, not measured: a geometry-optimized YCr4Se structure at the GGA-PBE level of DFT.

```
YCr4Se
1.0
0.000 3.569 3.569
3.569 0.000 3.569
3.569 3.569 0.000
Y Cr Se
1 4 1
Cartesian
0.000 0.000 0.000
4.455 2.684 2.684
2.684 4.455 2.684
2.684 2.684 4.455
4.455 4.455 4.455
1.785 1.785 1.785
```

Computed properties:
The symmetry is F-43m (216). Its calculated total energy is -45.9 eV per cell.

=====

[28]
Computed, not measured: a geometry-optimized ZnCr2Se structure at the GGA-PBE level of DFT.

```
ZnCr2Se
1.0
4.487 0.000 0.000
0.000 4.487 0.000
0.000 0.000 3.257
Zn Cr Se
1 2 1
Cartesian
0.000 0.000 0.000
0.000 2.243 1.629
2.243 0.000 1.629
2.243 2.243 0.000
```

Computed properties:
Its relative energy among the computed polymorphs is 65.8 kJ/mol of formula units. The symmetry is P4/mmm (123).

=====

[29]
Computed, not measured: a geometry-optimized ZnCr2Se structure at the GGA-PBE level of DFT.

```
ZnCr2Se
1.0
1.468 0.847 8.130
-1.468 0.847 8.130
0.000 -1.695 8.130
Zn Cr Se
1 2 1
Cartesian
0.000 0.000 0.000
0.000 0.000 6.058
0.000 0.000 12.621
0.000 0.000 18.918
```

Computed properties:
Its relative energy among the computed polymorphs is 29.1 kJ/mol of formula units. The symmetry is R3m (160).

=====

[30]
Computed, not measured: a geometry-optimized ZnCr2Se structure at the GGA-PBE level of DFT.

```
ZnCr2Se
1.0
3.149 0.000 0.000
0.000 3.149 0.000
0.000 0.000 5.889
Zn Cr Se
1 2 1
Cartesian
0.000 0.000 0.000
1.574 1.574 1.516
1.574 1.574 4.373
0.000 0.000 2.944
```

Computed properties:
Its relative energy among the computed polymorphs is 43.0 kJ/mol of formula units. The symmetry is P4/mmm (123).